[1]
CaCrTe2 after structural relaxation, computed with PBE-GGA.

Unit cell a=4.192 b=3.867 c=7.512 alpha=90.00 beta=103.87 gamma=90.00
Fractional coordinates of all 4 atoms:
Ca  0.000  0.000  0.000
Cr  0.500  0.000  0.500
Te  0.430  0.500  0.746
Te  0.570  0.500  0.254

## Properties
ΔE to the lowest computed polymorph: 160 meV/atom

=====

[2]
CaCrTe2 after structural relaxation, computed with PBE-GGA.

Unit cell a=7.601 b=7.601 c=7.601 alpha=150.18 beta=149.24 gamma=43.37
Fractional coordinates of all 4 atoms:
Ca  0.000  0.000  0.000
Cr  0.249  0.749  0.500
Te  0.402  0.402  0.000
Te  0.678  0.178  0.500

## Properties
ΔE to the lowest computed polymorph: 158 meV/atom

=====

[3]
CaCrTe2 after structural relaxation, computed with PBE-GGA.

Unit cell a=5.030 b=5.030 c=5.030 alpha=60.00 beta=60.00 gamma=60.00
Fractional coordinates of all 4 atoms:
Ca  0.000  0.000  0.000
Cr  0.500  0.500  0.500
Te  0.250  0.250  0.250
Te  0.750  0.750  0.750

## Properties
ΔE to the lowest computed polymorph: 692 meV/atom

=====

[4]
CaCrTe2 after structural relaxation, computed with PBE-GGA.

Unit cell a=5.342 b=5.342 c=5.342 alpha=60.00 beta=60.00 gamma=60.00
Fractional coordinates of all 4 atoms:
Ca  0.000  0.000  0.000
Cr  0.750  0.750  0.750
Te  0.250  0.250  0.250
Te  0.500  0.500  0.500

## Properties
ΔE to the lowest computed polymorph: 763 meV/atom

=====

[5]
Ca2CrTe2 after structural relaxation, computed with PBE-GGA.

Unit cell a=6.436 b=6.436 c=6.436 alpha=122.63 beta=122.63 gamma=85.50
Fractional coordinates of all 5 atoms:
Ca  0.250  0.750  0.500
Ca  0.750  0.250  0.500
Cr  0.000  0.000  0.000
Te  0.288  0.288  0.000
Te  0.712  0.712  0.000

## Properties
ΔE to the lowest computed polymorph: 163 meV/atom

=====

[6]
CaCrTe2 after structural relaxation, computed with PBE-GGA.

Unit cell a=9.040 b=9.040 c=9.040 alpha=29.75 beta=29.75 gamma=29.75
Fractional coordinates of all 4 atoms:
Ca  0.000  0.000  0.000
Cr  0.500  0.500  0.500
Te  0.401  0.401  0.401
Te  0.599  0.599  0.599

## Properties
ΔE to the lowest computed polymorph: 440 meV/atom

=====

[7]
CaCr2Te after structural relaxation, computed with PBE-GGA.

Unit cell a=3.661 b=3.661 c=6.280 alpha=90.00 beta=90.00 gamma=90.00
Fractional coordinates of all 4 atoms:
Ca  0.000  0.000  0.000
Cr  0.500  0.500  0.339
Cr  0.500  0.500  0.661
Te  0.000  0.000  0.500

=====

[8]
CaCr2Te after structural relaxation, computed with PBE-GGA.

Unit cell a=4.983 b=4.983 c=5.354 alpha=100.79 beta=100.79 gamma=39.27
Fractional coordinates of all 4 atoms:
Ca  0.000  0.000  0.000
Cr  0.239  0.239  0.632
Cr  0.761  0.761  0.368
Te  0.500  0.500  0.500

=====

[9]
Ca2CrTe2 after structural relaxation, computed with PBE-GGA.

Unit cell a=8.135 b=8.135 c=4.278 alpha=90.00 beta=90.00 gamma=90.00
Fractional coordinates of all 10 atoms:
Ca  0.152  0.348  0.000
Ca  0.348  0.848  0.000
Ca  0.652  0.152  0.000
Ca  0.848  0.652  0.000
Cr  0.000  0.000  0.500
Cr  0.500  0.500  0.500
Te  0.161  0.661  0.500
Te  0.339  0.161  0.500
Te  0.661  0.839  0.500
Te  0.839  0.339  0.500

## Properties
ΔE to the lowest computed polymorph: 0 meV/atom

=====

[10]
CaCr3Te after structural relaxation, computed with PBE-GGA.

Unit cell a=5.188 b=5.188 c=5.188 alpha=90.00 beta=90.00 gamma=90.00
Fractional coordinates of all 5 atoms:
Ca  0.000  0.000  0.000
Cr  0.000  0.000  0.500
Cr  0.000  0.500  0.000
Cr  0.500  0.000  0.000
Te  0.500  0.500  0.500

## Properties
ΔE to the lowest computed polymorph: 969 meV/atom

=====

[11]
CaCr2Te after structural relaxation, computed with PBE-GGA.

Unit cell a=3.654 b=3.654 c=6.826 alpha=90.00 beta=90.00 gamma=90.00
Fractional coordinates of all 4 atoms:
Ca  0.000  0.000  0.000
Cr  0.000  0.000  0.462
Cr  0.500  0.500  0.321
Te  0.500  0.500  0.721

=====

[12]
CaCrTe2 after structural relaxation, computed with PBE-GGA.

Unit cell a=4.239 b=4.239 c=7.098 alpha=90.00 beta=90.00 gamma=120.00
Fractional coordinates of all 4 atoms:
Ca  0.000  0.000  0.000
Cr  0.000  0.000  0.500
Te  0.333  0.667  0.286
Te  0.667  0.333  0.714

## Properties
ΔE to the lowest computed polymorph: 0 meV/atom

=====

In eV/atom, the uncorrected formation energy values for the records above are, in order, -0.59; -0.60; -0.06; 0.01; -0.55; -0.31; 0.54; 0.39; -0.71; 1.87; 0.09; -0.75.